Density functional theory data (GGA-PBE) for a relaxed NbV4Re crystal.

Cell: 4.3142 5.1304 9.0184 Å, 93.14 103.54 114.78°
Space group P-1 (No. 2)
Unique sites:
Nb (0.1667, 0.0398, 0.2927)
V (0.1616, 0.7800, 0.5433)
V (0.1701, 0.2987, 0.0411)
V (0.4985, 0.1181, 0.8800)
V (0.4994, 0.6251, 0.3729)
Re (0.1684, 0.5430, 0.7945)

Results
- Total magnetization: 0.0 μB/f.u.
- Formation enthalpy at 0 K: -0.140 eV/atom
- Calculated total energy: -9.972 eV per atom
- Polymorph energy (0 for the lowest one): 0.0000 eV/atom

=====

Density functional theory data (GGA-PBE) for a relaxed Nb3V8Re crystal.

Cell: 5.0178 5.0178 24.5959 Å, 90.00 90.00 120.00°
Space group R3m (No. 160, hexagonal axes)
Unique sites:
Nb (0.0000, 0.0000, 0.0000)
Nb (0.0000, 0.0000, 0.1259)
Nb (0.0000, 0.0000, 0.6243)
V (0.0000, 0.0000, 0.3122)
V (0.0000, 0.0000, 0.8130)
V (0.0012, 0.5006, 0.0640)
V (0.1671, 0.3341, 0.8946)
Re (0.0000, 0.0000, 0.5001)

Results
- Total magnetization: 0.0 μB/f.u.
- Formation enthalpy at 0 K: -0.097 eV/atom
- Calculated total energy: -9.731 eV per atom
- Polymorph energy (0 for the lowest one): 0.0000 eV/atom

=====

Density functional theory data (GGA-PBE) for a relaxed Nb2V3Re crystal.

Cell: 5.1018 5.1018 12.4853 Å, 90.00 90.00 120.00°
Space group R-3m (No. 166, hexagonal axes)
Unique sites:
Nb (0.0000, 0.0000, 0.1252)
V (0.0000, 0.5000, 0.0000)
Re (0.0000, 0.0000, 0.5000)

Results
- Total magnetization: 0.0 μB/f.u.
- Formation enthalpy at 0 K: -0.222 eV/atom
- Calculated total energy: -10.213 eV per atom

=====

Density functional theory data (GGA-PBE) for a relaxed Nb4VRe crystal.

Cell: 4.3832 4.3832 6.1411 Å, 90.00 90.00 90.00°
Space group P4/mmm (No. 123)
Unique sites:
Nb (0.0000, 0.5000, 0.2449)
V (0.0000, 0.0000, 0.0000)
Re (0.5000, 0.5000, 0.5000)

Results
- Total magnetization: 0.0 μB/f.u.
- Formation enthalpy at 0 K: 0.513 eV/atom
- Calculated total energy: -9.795 eV per atom
- Polymorph energy (0 for the lowest one): 0.6211 eV/atom